# BaMgBe2Cr

A geometry-optimized BaMgBe2Cr structure (GGA-PBE, the Alexandria database).

a b c (Å): 4.7670 4.7670 5.0140
angles (deg): 90.00 90.00 90.00
Sites, in units of the cell vectors:
Ba 0.0000 0.0000 0.0000
Mg 0.5000 0.5000 0.5000
Be 0.0000 0.5000 0.5000
Be 0.5000 0.0000 0.5000
Cr 0.5000 0.5000 0.0000

Calculated values
D(E_F)	7.06	states/eV/cell
symmetry	P4/mmm, No. 123
raw total energy	-0.1015	Ha/atom